A plane-wave DFT calculation with PBE was carried out for MgPb after structural relaxation.

## Properties
energy of formation: -46 meV/atom
theoretical density: 7.290 Mg/m³
spin magnetization: 0.0 Bohr magnetons per cell

a b c (Å): 5.413 3.571 5.455
angles (deg): 90.00 90.00 90.00
Fractional coordinates of all 4 atoms:
Pb1 0.000 0.375 0.599
Pb2 0.500 0.375 0.151
Mg1 0.000 0.875 0.095
Mg2 0.500 0.875 0.655

A plane-wave DFT calculation with PBE was carried out for Mg2Pb after structural relaxation.

## Properties
energy of formation: -41 meV/atom
theoretical density: 5.589 Mg/m³
spin magnetization: 0.0 Bohr magnetons per cell

a b c (Å): 3.549 8.617 8.617
angles (deg): 120.10 90.00 90.00
Fractional coordinates of all 9 atoms:
Pb1 0.000 0.667 0.333
Pb2 0.500 0.000 0.000
Pb3 0.000 0.333 0.667
Mg1 0.000 0.704 0.704
Mg2 0.500 0.628 0.000
Mg3 0.000 0.000 0.296
Mg4 0.500 0.372 0.372
Mg5 0.500 0.000 0.628
Mg6 0.000 0.296 0.000

A plane-wave DFT calculation with PBE was carried out for Mg3Pb4 after structural relaxation.

## Properties
energy of formation: -32 meV/atom
theoretical density: 7.912 Mg/m³
spin magnetization: 0.0 Bohr magnetons per cell

a b c (Å): 3.801 3.801 13.369
angles (deg): 98.17 98.17 90.00
Fractional coordinates of all 7 atoms:
Mg1 0.864 0.364 0.727
Mg2 0.000 0.500 0.000
Mg3 0.136 0.636 0.273
Pb1 0.705 0.205 0.409
Pb2 0.295 0.795 0.591
Pb3 0.432 0.932 0.865
Pb4 0.568 0.068 0.135

A plane-wave DFT calculation with PBE was carried out for Mg5Pb3 after structural relaxation.

## Properties
energy of formation: -25 meV/atom
theoretical density: 6.030 Mg/m³
spin magnetization: 0.0 Bohr magnetons per cell

a b c (Å): 8.918 8.918 5.942
angles (deg): 90.00 90.00 120.00
Fractional coordinates of all 16 atoms:
Mg1 0.333 0.667 0.000
Mg2 0.667 0.333 0.500
Mg3 0.667 0.333 0.000
Mg4 0.333 0.667 0.500
Mg5 0.214 0.000 0.250
Mg6 0.786 0.000 0.750
Mg7 0.000 0.214 0.250
Mg8 0.786 0.786 0.250
Mg9 0.214 0.214 0.750
Mg10 0.000 0.786 0.750
Pb1 0.601 0.000 0.250
Pb2 0.399 0.000 0.750
Pb3 0.000 0.601 0.250
Pb4 0.399 0.399 0.250
Pb5 0.601 0.601 0.750
Pb6 0.000 0.399 0.750

A plane-wave DFT calculation with PBE was carried out for MgPb after structural relaxation.

## Properties
energy of formation: -64 meV/atom
theoretical density: 7.252 Mg/m³
spin magnetization: 0.0 Bohr magnetons per cell

a b c (Å): 5.238 5.238 5.238
angles (deg): 39.79 39.79 39.79
Fractional coordinates of all 2 atoms:
Pb1 0.500 0.500 0.500
Mg1 0.000 0.000 0.000

A plane-wave DFT calculation with PBE was carried out for Mg2Pb13 after structural relaxation.

## Properties
energy of formation: 264 meV/atom
theoretical density: 6.562 Mg/m³
spin magnetization: 1.4 Bohr magnetons per cell

a b c (Å): 9.909 9.909 9.909
angles (deg): 60.38 60.38 60.38
Fractional coordinates of all 15 atoms:
Mg1 0.383 0.383 0.383
Mg2 0.617 0.617 0.617
Pb1 0.500 0.500 0.500
Pb2 0.193 0.689 0.193
Pb3 0.193 0.193 0.689
Pb4 0.689 0.193 0.193
Pb5 0.311 0.807 0.807
Pb6 0.807 0.311 0.807
Pb7 0.807 0.807 0.311
Pb8 0.003 0.672 0.003
Pb9 0.003 0.003 0.672
Pb10 0.672 0.003 0.003
Pb11 0.328 0.997 0.997
Pb12 0.997 0.328 0.997
Pb13 0.997 0.997 0.328

A plane-wave DFT calculation with PBE was carried out for Mg12Pb17 after structural relaxation.

## Properties
energy of formation: -2 meV/atom
theoretical density: 7.861 Mg/m³
spin magnetization: 0.0 Bohr magnetons per cell

a b c (Å): 10.153 10.153 10.153
angles (deg): 109.47 109.47 109.47
Fractional coordinates of all 29 atoms:
Mg1 0.190 0.808 0.190
Mg2 0.382 0.192 0.382
Mg3 0.810 0.000 0.618
Mg4 0.618 0.000 0.810
Mg5 0.810 0.618 0.000
Mg6 0.618 0.810 0.000
Mg7 0.382 0.382 0.192
Mg8 0.190 0.190 0.808
Mg9 0.000 0.618 0.810
Mg10 0.000 0.810 0.618
Mg11 0.808 0.190 0.190
Mg12 0.192 0.382 0.382
Pb1 0.693 0.275 0.693
Pb2 0.418 0.725 0.418
Pb3 0.307 0.000 0.582
Pb4 0.582 0.000 0.307
Pb5 0.307 0.582 0.000
Pb6 0.582 0.307 0.000
Pb7 0.418 0.418 0.725
Pb8 0.693 0.693 0.275
Pb9 0.000 0.582 0.307
Pb10 0.000 0.307 0.582
Pb11 0.275 0.693 0.693
Pb12 0.725 0.418 0.418
Pb13 0.000 0.327 0.000
Pb14 0.673 0.673 0.673
Pb15 0.000 0.000 0.327
Pb16 0.327 0.000 0.000
Pb17 0.000 0.000 0.000

A plane-wave DFT calculation with PBE was carried out for MgPb2 after structural relaxation.

## Properties
energy of formation: 21 meV/atom
theoretical density: 7.972 Mg/m³
spin magnetization: 0.0 Bohr magnetons per cell

a b c (Å): 5.056 5.056 5.056
angles (deg): 60.00 60.00 60.00
Fractional coordinates of all 3 atoms:
Pb1 0.250 0.250 0.250
Pb2 0.750 0.750 0.750
Mg1 0.000 0.000 0.000

A plane-wave DFT calculation with PBE was carried out for Mg2Pb after structural relaxation.

## Properties
energy of formation: -16 meV/atom
theoretical density: 5.568 Mg/m³
spin magnetization: 0.0 Bohr magnetons per cell

a b c (Å): 7.051 7.051 7.051
angles (deg): 152.16 152.16 39.77
Fractional coordinates of all 3 atoms:
Pb1 0.000 0.000 0.000
Mg1 0.670 0.670 0.000
Mg2 0.330 0.330 0.000

A plane-wave DFT calculation with PBE was carried out for MgPb5 after structural relaxation.

## Properties
energy of formation: -14 meV/atom
theoretical density: 9.854 Mg/m³
spin magnetization: 0.0 Bohr magnetons per cell

a b c (Å): 3.584 3.584 13.912
angles (deg): 90.00 90.00 90.00
Fractional coordinates of all 6 atoms:
Mg1 0.500 0.500 0.000
Pb1 0.000 0.000 0.854
Pb2 0.000 0.000 0.146
Pb3 0.500 0.500 0.676
Pb4 0.500 0.500 0.324
Pb5 0.000 0.000 0.500

A plane-wave DFT calculation with PBE was carried out for Mg2Pb after structural relaxation.

## Properties
energy of formation: -43 meV/atom
theoretical density: 5.550 Mg/m³
spin magnetization: 0.0 Bohr magnetons per cell

a b c (Å): 4.467 7.765 8.826
angles (deg): 90.00 90.00 90.00
Fractional coordinates of all 12 atoms:
Mg1 0.250 0.047 0.329
Mg2 0.750 0.453 0.829
Mg3 0.750 0.953 0.671
Mg4 0.250 0.547 0.171
Mg5 0.250 0.128 0.945
Mg6 0.750 0.372 0.445
Mg7 0.750 0.872 0.055
Mg8 0.250 0.628 0.555
Pb1 0.250 0.243 0.635
Pb2 0.750 0.257 0.135
Pb3 0.750 0.757 0.365
Pb4 0.250 0.743 0.865

Copy entry 8 word for word.
A plane-wave DFT calculation with PBE was carried out for MgPb2 after structural relaxation.

## Properties
energy of formation: 21 meV/atom
theoretical density: 7.972 Mg/m³
spin magnetization: 0.0 Bohr magnetons per cell

a b c (Å): 5.056 5.056 5.056
angles (deg): 60.00 60.00 60.00
Fractional coordinates of all 3 atoms:
Pb1 0.250 0.250 0.250
Pb2 0.750 0.750 0.750
Mg1 0.000 0.000 0.000